# Fe2AgF8

A geometry-optimized Fe2AgF8 structure (PBE+U, Alexandria).

Properties
As for the spin magnetization: 0.82 μB/atom. Its calculated total energy is -0.342 Ry/atom. As for the density of states at the Fermi level: 0.2 states/eV per cell. The value obtained for the energy above the most stable polymorph in this dataset is 0.00 eV/f.u. The space-group type is C2/m, No. 12.

```
11
Lattice="5.434 -0.321 -0.244 -0.405 5.233 -0.057 -0.405 1.354 5.055" Properties=species:S:1:pos:R:3 pbc="T T T"
F 1.151 2.826 2.144
F 3.275 3.338 0.045
F 3.275 0.942 3.203
F 1.349 5.323 1.552
F 3.472 3.440 2.610
F 0.276 5.190 3.938
F 4.348 1.076 0.817
F 1.349 2.928 4.709
Fe 1.885 4.357 3.306
Fe 2.738 1.909 1.448
Ag 0.000 0.000 0.000
```